No. 1
Compound: Rb3Sn2PbI9
Source: the Alexandria database
Functional: GGA-PBE
Structure: optimized geometry

```
Rb3Sn2PbI9
1.0
8.8858 0.0000 0.0000
-4.4429 7.6953 0.0000
0.0000 0.0000 10.9030
Rb Sn Pb I
3 2 1 9
direct
0.0000 0.0000 0.0000
0.3333 0.6667 0.6683
0.6667 0.3333 0.3317
0.3333 0.6667 0.1640
0.6667 0.3333 0.8360
0.0000 0.0000 0.5000
0.0000 0.5000 0.0000
0.1683 0.3366 0.3304
0.1683 0.8317 0.3304
0.3366 0.1683 0.6696
0.5000 0.0000 0.0000
0.5000 0.5000 0.0000
0.6634 0.8317 0.3304
0.8317 0.1683 0.6696
0.8317 0.6634 0.6696
```

Formation energy from raw total energies in eV per atom: -0.896
Space group: P-3m1

No. 2
Compound: Ac2InSiPt6
Source: the Alexandria database
Functional: GGA-PBE
Structure: optimized geometry

```
Ac2InSiPt6
1.0
6.5257 0.0000 0.0000
3.1018 5.7471 0.0000
2.6218 1.5513 6.0415
Ac In Si Pt
2 1 1 6
direct
0.2351 0.2349 0.3106
0.7649 0.7651 0.6894
0.5000 0.5000 0.5000
0.0000 0.0000 0.0000
0.2225 0.6474 0.8667
0.2383 0.2375 0.8087
0.3511 0.7778 0.1347
0.6489 0.2222 0.8653
0.7617 0.7625 0.1913
0.7775 0.3526 0.1333
```

N(E_F) in states/eV/cell: 3.45
Formation energy from raw total energies in eV per atom: -0.832
Space group: P-1

No. 3
Compound: La3NbTc
Source: the Alexandria database
Functional: GGA-PBE
Structure: optimized geometry

```
La3NbTc
1.0
5.4484 0.0000 0.0000
0.0000 5.4484 0.0000
0.0000 0.0000 5.4484
La Nb Tc
3 1 1
direct
0.0000 0.0000 0.5000
0.0000 0.5000 0.0000
0.5000 0.0000 0.0000
0.5000 0.5000 0.5000
0.0000 0.0000 0.0000
```

N(E_F) in states/eV/cell: 4.64
Formation enthalpy at 0 K in eV/atom: 0.56
Energy above the most stable polymorph in this dataset in eV per atom: 0.0000
Space group: Pm-3m

No. 4
Compound: CaTbEr4Te8
Source: the Alexandria database
Functional: GGA-PBE
Structure: optimized geometry

```
CaTbEr4Te8
1.0
4.5225 2.6111 7.4091
-4.5225 2.6111 7.4091
0.0000 -5.2222 7.4091
Ca Tb Er Te
1 1 4 8
direct
0.0000 0.0000 0.0000
0.6282 0.6282 0.6282
0.1199 0.6278 0.6278
0.2512 0.2512 0.2512
0.6278 0.1199 0.6278
0.6278 0.6278 0.1199
0.3820 0.3820 0.8530
0.3820 0.8530 0.3820
0.3841 0.3841 0.3841
0.4049 0.8681 0.8681
0.8530 0.3820 0.3820
0.8653 0.8653 0.8653
0.8681 0.4049 0.8681
0.8681 0.8681 0.4049
```

N(E_F) in states/eV/cell: 4.57
Formation energy from raw total energies in eV per atom: -1.300
Space group: R3m

No. 5
Compound: CoRuCl3
Source: the Alexandria database
Functional: GGA-PBE
Structure: optimized geometry

```
CoRuCl3
1.0
3.3832 0.0000 0.0000
0.0614 8.6823 0.0000
0.0510 4.1949 7.6442
Co Ru Cl
2 2 6
direct
0.0000 0.0000 0.0000
0.0057 0.9408 0.7730
0.5001 0.4483 0.4417
0.5035 0.7779 0.0517
0.0029 0.4740 0.2227
0.4965 0.1647 0.0206
0.4973 0.7549 0.3278
0.5042 0.1348 0.5656
0.5092 0.7303 0.8043
0.9976 0.4263 0.6339
```

N(E_F) in states/eV/cell: 5.57
Formation energy from raw total energies in eV per atom: -0.233
Energy above the most stable polymorph in this dataset in eV per atom: 0.0153
Space group: P1

No. 6
Compound: MgNi
Source: the Alexandria database
Functional: GGA-PBE
Structure: optimized geometry

```
MgNi
1.0
2.8468 0.0000 0.0000
-1.4234 2.4654 0.0000
0.0000 0.0000 4.1249
Mg Ni
1 1
direct
0.0000 0.0000 0.0000
0.6667 0.3333 0.5000
```

N(E_F) in states/eV/cell: 2.20
Formation enthalpy at 0 K in eV/atom: 0.03
Space group: P-6m2

No. 7
Compound: AlCuOsRu2
Source: the Alexandria database
Functional: GGA-PBE
Structure: optimized geometry

```
AlCuOsRu2
1.0
4.4286 0.0000 0.0000
0.0000 4.4286 0.0000
0.0000 0.0000 4.4563
Al Cu Os Ru
1 1 1 2
direct
0.0000 0.0000 0.0000
0.5000 0.5000 0.5000
0.5000 0.5000 0.0000
0.0000 0.5000 0.5000
0.5000 0.0000 0.5000
```

N(E_F) in states/eV/cell: 6.45
Formation enthalpy at 0 K in eV/atom: 1.59
Space group: P4/mmm

No. 8
Compound: DyRe2N4
Source: the Alexandria database
Functional: GGA-PBE
Structure: optimized geometry

```
DyRe2N4
1.0
1.6121 -4.8663 0.0000
1.6121 4.8663 0.0000
0.0000 0.0000 10.0734
Dy Re N
2 4 8
direct
0.1285 0.8715 0.7500
0.8715 0.1285 0.2500
0.3865 0.6135 0.5634
0.3865 0.6135 0.9366
0.6135 0.3865 0.0634
0.6135 0.3865 0.4366
0.0000 0.0000 0.0000
0.0000 0.0000 0.5000
0.2603 0.7397 0.1050
0.2603 0.7397 0.3950
0.4366 0.5634 0.7500
0.5634 0.4366 0.2500
0.7397 0.2603 0.6050
0.7397 0.2603 0.8950
```

N(E_F) in states/eV/cell: 5.36
Formation energy from raw total energies in eV per atom: -0.426
Energy above the most stable polymorph in this dataset in eV per atom: 0.0000
Space group: Cmcm

No. 9
Compound: Cd2GaI8
Source: the Alexandria database
Functional: GGA-PBE
Structure: optimized geometry

```
Cd2GaI8
1.0
5.9641 -6.2759 0.0000
5.9641 6.2759 0.0000
-0.1788 0.0000 7.2180
Cd Ga I
2 1 8
direct
0.2093 0.2093 0.4306
0.7907 0.7907 0.5694
0.0000 0.0000 0.0000
0.0760 0.7544 0.7656
0.2168 0.2168 0.8170
0.2456 0.9240 0.2344
0.4316 0.4316 0.3019
0.5684 0.5684 0.6981
0.7544 0.0760 0.7656
0.7832 0.7832 0.1830
0.9240 0.2456 0.2344
```

N(E_F) in states/eV/cell: 0.29
Formation energy from raw total energies in eV per atom: -0.374
Space group: C2/m

No. 10
Compound: Cs2Mg2I5
Source: the Alexandria database
Functional: GGA-PBE
Structure: optimized geometry

```
Cs2Mg2I5
1.0
8.2823 -3.0835 0.0000
8.2823 3.0835 0.0000
-3.0558 0.0000 8.6708
Cs Mg I
2 2 5
direct
0.1007 0.1007 0.3081
0.8993 0.8993 0.6919
0.3438 0.3438 0.1057
0.6562 0.6562 0.8943
0.1572 0.1572 0.9254
0.3508 0.3508 0.4171
0.5000 0.5000 0.0000
0.6492 0.6492 0.5829
0.8428 0.8428 0.0746
```

N(E_F) in states/eV/cell: 0.82
Formation energy from raw total energies in eV per atom: -1.089
Space group: C2/m

No. 11
Compound: Y4BiTeSe2
Source: the Alexandria database
Functional: GGA-PBE
Structure: optimized geometry

```
Y4BiTeSe2
1.0
7.3197 0.0000 0.0000
0.0000 4.2322 0.0000
-2.4394 0.0000 7.0422
Y Bi Te Se
4 1 1 2
direct
0.2371 0.0000 0.2194
0.2577 0.5000 0.7780
0.7423 0.5000 0.2220
0.7629 0.0000 0.7806
0.0000 0.0000 0.5000
0.5000 0.5000 0.5000
0.0000 0.5000 0.0000
0.5000 0.0000 0.0000
```

N(E_F) in states/eV/cell: 3.40
Formation energy from raw total energies in eV per atom: -1.437
Space group: P2/m

No. 12
Compound: Li2TcOs
Source: the Alexandria database
Functional: GGA-PBE
Structure: optimized geometry

```
Li2TcOs
1.0
2.4958 -4.4972 0.0000
2.4958 4.4972 0.0000
0.0000 0.0000 2.5082
Li Tc Os
2 1 1
direct
0.0000 0.5000 0.0000
0.5000 0.0000 0.0000
0.0000 0.0000 0.5000
0.5000 0.5000 0.5000
```

N(E_F) in states/eV/cell: 3.05
Formation enthalpy at 0 K in eV/atom: 0.32
Energy above the most stable polymorph in this dataset in eV per atom: 0.2085
Space group: Cmmm

No. 13
Compound: Al2CrCu2
Source: the Alexandria database
Functional: GGA-PBE
Structure: optimized geometry

```
Al2CrCu2
1.0
-1.9066 1.9066 4.9753
1.9066 -1.9066 4.9753
1.9066 1.9066 -4.9753
Al Cr Cu
2 1 2
direct
0.2500 0.7500 0.5000
0.7500 0.2500 0.5000
0.0000 0.0000 0.0000
0.3907 0.3907 0.0000
0.6093 0.6093 0.0000
```

N(E_F) in states/eV/cell: 2.80
Formation enthalpy at 0 K in eV/atom: 0.41
Energy above the most stable polymorph in this dataset in eV per atom: 0.3650
Space group: I4/mmm

No. 14
Compound: Ho10ErTm2
Source: the Alexandria database
Functional: GGA-PBE
Structure: optimized geometry

```
Ho10ErTm2
1.0
0.0000 7.6351 8.5126
3.2435 0.0000 8.5126
3.2435 7.6351 0.0000
Ho Er Tm
10 1 2
direct
0.0000 0.5000 0.0000
0.0024 0.7949 0.2051
0.1521 0.5140 0.4860
0.2051 0.9976 0.0024
0.4860 0.8479 0.1521
0.5000 0.0000 0.5000
0.5140 0.1521 0.8479
0.7949 0.0024 0.9976
0.8479 0.4860 0.5140
0.9976 0.2051 0.7949
0.5000 0.5000 0.5000
0.0000 0.0000 0.5000
0.5000 0.5000 0.0000
```

N(E_F) in states/eV/cell: 28.22
Formation enthalpy at 0 K in eV/atom: 0.30
Space group: Fmmm

No. 15
Compound: CoCuHgOsRu
Source: the Alexandria database
Functional: GGA-PBE
Structure: optimized geometry

```
CoCuHgOsRu
1.0
4.2902 -1.7983 0.0000
4.2902 1.7983 0.0000
-4.1279 0.0000 4.7850
Co Cu Hg Os Ru
1 1 1 1 1
direct
0.0000 0.0000 0.0000
0.6247 0.6247 0.4387
0.8215 0.8215 0.2380
0.4361 0.4361 0.6846
0.2011 0.2011 0.7999
```

N(E_F) in states/eV/cell: 5.99
Formation enthalpy at 0 K in eV/atom: 0.51
Energy above the most stable polymorph in this dataset in eV per atom: 0.2304
Space group: Cm

No. 16
Compound: Be2BiC
Source: the Alexandria database
Functional: GGA-PBE
Structure: optimized geometry

```
Be2BiC
1.0
0.0000 3.9309 3.9309
3.9309 0.0000 3.9309
3.9309 3.9309 0.0000
Be Bi C
4 2 2
direct
0.0000 0.0000 0.0000
0.0000 0.0000 0.5000
0.0000 0.5000 0.0000
0.5000 0.0000 0.0000
0.3750 0.3750 0.3750
0.6250 0.6250 0.6250
0.1250 0.1250 0.1250
0.8750 0.8750 0.8750
```

N(E_F) in states/eV/cell: 1.36
Formation enthalpy at 0 K in eV/atom: 0.43
Energy above the most stable polymorph in this dataset in eV per atom: 0.0000
Space group: Fd-3m

No. 17
Compound: PmHoPaPb
Source: the Alexandria database
Functional: GGA-PBE
Structure: optimized geometry

```
PmHoPaPb
1.0
0.0000 3.8391 3.8391
3.8391 0.0000 3.8391
3.8391 3.8391 0.0000
Pm Ho Pa Pb
1 1 1 1
direct
0.0000 0.0000 0.0000
0.5000 0.5000 0.5000
0.7500 0.7500 0.7500
0.2500 0.2500 0.2500
```

N(E_F) in states/eV/cell: 7.79
Formation enthalpy at 0 K in eV/atom: 0.16
Space group: F-43m

No. 18
Compound: Rb3Cd2SnCl9
Source: the Alexandria database
Functional: GGA-PBE
Structure: optimized geometry

```
Rb3Cd2SnCl9
1.0
7.5988 0.0000 0.0000
-3.7994 6.5807 0.0000
0.0000 0.0000 9.3707
Rb Cd Sn Cl
3 2 1 9
direct
0.0000 0.0000 0.0000
0.3333 0.6667 0.6816
0.6667 0.3333 0.3184
0.3333 0.6667 0.1609
0.6667 0.3333 0.8391
0.0000 0.0000 0.5000
0.0000 0.5000 0.0000
0.1702 0.3403 0.3241
0.1702 0.8298 0.3241
0.3403 0.1702 0.6759
0.5000 0.0000 0.0000
0.5000 0.5000 0.0000
0.6597 0.8298 0.3241
0.8298 0.1702 0.6759
0.8298 0.6597 0.6759
```

N(E_F) in states/eV/cell: 0.00
Formation energy from raw total energies in eV per atom: -1.427
Space group: P-3m1

No. 19
Compound: K2CoTc
Source: the Alexandria database
Functional: GGA-PBE
Structure: optimized geometry

```
K2CoTc
1.0
3.3978 -1.9614 0.0000
3.3978 1.9614 0.0000
-2.1443 0.0000 9.7524
K Co Tc
2 1 1
direct
0.0000 0.0000 0.0000
0.1699 0.1699 0.5378
0.7520 0.7520 0.2688
0.4187 0.4187 0.2689
```

N(E_F) in states/eV/cell: 4.07
Formation enthalpy at 0 K in eV/atom: 0.77
Energy above the most stable polymorph in this dataset in eV per atom: 0.0000
Space group: Cm

No. 20
Compound: NdH7Rh2
Source: the Alexandria database
Functional: GGA-PBE
Structure: optimized geometry

```
NdH7Rh2
1.0
2.6485 -4.4810 0.0000
2.6485 4.4810 0.0000
0.0000 0.0000 3.6274
Nd H Rh
1 7 2
direct
0.0000 0.0000 0.0000
0.0381 0.3258 0.5000
0.3149 0.6851 0.0000
0.3258 0.0381 0.5000
0.5000 0.5000 0.5000
0.6742 0.9619 0.5000
0.6851 0.3149 0.0000
0.9619 0.6742 0.5000
0.3132 0.6868 0.5000
0.6868 0.3132 0.5000
```

N(E_F) in states/eV/cell: 1.24
Raw total energy in eV per atom: -4.609
Space group: Cmmm

Magnetic moment, respectively: 0.0 0.0 3.3 0.0 6.0 0.0 2.7 0.0 1.0 0.0 0.0 0.0 0.0 0.0 1.2 0.0 1.4 0.0 0.0 0.0 μB/cell.